<i>
Material: Tb2YTm
Method: DFT, GGA-PBE
State: relaxed

Cell lengths 3.5446, 3.5446, 10.0333 Å; angles 90.00, 90.00, 90.00 degrees
Space group P4/mmm (No. 123)
One atom of each set of equivalent atoms:
Tb 0.0000 0.0000 0.2468 [2 per cell]
Y 0.5000 0.5000 0.5000 [1 per cell]
Tm 0.5000 0.5000 0.0000 [1 per cell]

Summary:
**Theoretical density**: 7.58 g/cm³
**Crystal system**: tetragonal
**Total moment**: 0.0000 μB per atom

<ii>
Material: Tb2YTm
Method: DFT, GGA-PBE
State: relaxed

Cell lengths 8.0050, 8.0050, 8.0050 Å; angles 90.00, 90.00, 90.00 degrees
Space group Fm-3m (No. 225)
One atom of each set of equivalent atoms:
Tb 0.2500 0.2500 0.2500 [8 per cell]
Y 0.0000 0.0000 0.0000 [4 per cell]
Tm 0.0000 0.0000 0.5000 [4 per cell]

Summary:
**Theoretical density**: 7.45 g/cm³
**Crystal system**: cubic
**Total moment**: 0.0008 μB per atom

Which structure is most stable? <i>, by 10.8 kJ/mol of atoms over the runner-up.

<i>
Material: Tb7YTm2
Method: DFT, GGA-PBE
State: relaxed

Cell lengths 6.1382, 7.0936, 7.9321 Å; angles 77.07, 75.06, 73.29 degrees
Space group P-1 (No. 2)
One atom of each set of equivalent atoms:
Tb 0.0000 0.0000 0.0000 [1 per cell]
Tb 0.2001 0.8005 0.5991 [2 per cell]
Tb 0.4002 0.6000 0.2011 [2 per cell]
Tb 0.4019 0.0994 0.2004 [2 per cell]
Y 0.0000 0.5000 0.0000 [1 per cell]
Tm 0.1994 0.3005 0.5983 [2 per cell]

Summary:
**Theoretical density**: 8.10 g/cm³
**Crystal system**: triclinic
**Total moment**: 0.0000 μB per atom

<ii>
Material: Tb7YTm2
Method: DFT, GGA-PBE
State: relaxed

Cell lengths 8.7108, 16.4490, 5.4814 Å; angles 90.00, 90.00, 90.00 degrees
Space group Cmmm (No. 65)
One atom of each set of equivalent atoms:
Tb 0.0000 0.0000 0.0000 [2 per cell]
Tb 0.0000 0.2916 0.5000 [4 per cell]
Tb 0.1775 0.3872 0.0000 [8 per cell]
Y 0.0000 0.5000 0.5000 [2 per cell]
Tm 0.0000 0.2036 0.0000 [4 per cell]

Summary:
**Theoretical density**: 6.51 g/cm³
**Crystal system**: orthorhombic
**Total moment**: 0.0000 μB per atom

Which structure is most stable? <i>, by 64.5 kJ/mol of atoms over the runner-up.

<i>
Material: TbYTm
Method: DFT, GGA-PBE
State: relaxed

Cell lengths 3.5368, 3.5368, 15.0641 Å; angles 90.00, 90.00, 90.00 degrees
Space group I4mm (No. 107)
One atom of each set of equivalent atoms:
Tb 0.0000 0.0000 0.0000 [2 per cell]
Y 0.0000 0.0000 0.6690 [2 per cell]
Tm 0.0000 0.0000 0.3355 [2 per cell]

Summary:
**Theoretical density**: 7.35 g/cm³
**Crystal system**: tetragonal
**Total moment**: 0.0000 μB per atom

<ii>
Material: TbYTm
Method: DFT, GGA-PBE
State: relaxed

Cell lengths 5.5793, 5.5793, 3.4932 Å; angles 90.00, 90.00, 120.00 degrees
Space group P-6m2 (No. 187)
One atom of each set of equivalent atoms:
Tb 0.0000 0.0000 0.0000 [1 per cell]
Y 0.6667 0.3333 0.5000 [1 per cell]
Tm 0.3333 0.6667 0.0000 [1 per cell]

Summary:
**Theoretical density**: 7.35 g/cm³
**Crystal system**: hexagonal
**Total moment**: 0.0004 μB per atom

<iii>
Material: TbYTm
Method: DFT, GGA-PBE
State: relaxed

Cell lengths 11.4681, 11.5573, 3.4175 Å; angles 90.00, 90.00, 90.00 degrees
Space group Cmmm (No. 65)
One atom of each set of equivalent atoms:
Tb 0.0000 0.0000 0.0000 [2 per cell]
Tb 0.0000 0.5000 0.5000 [2 per cell]
Y 0.0000 0.2387 0.5000 [4 per cell]
Tm 0.2374 0.5000 0.0000 [4 per cell]

Summary:
**Theoretical density**: 6.11 g/cm³
**Crystal system**: orthorhombic
**Total moment**: 0.0000 μB per atom

Which structure is most stable? <i>, by 4.4 kJ/mol of atoms over the runner-up.

<i>
Material: Tb7YTm4
Method: DFT, GGA-PBE
State: relaxed

Cell lengths 6.1822, 7.1342, 8.7802 Å; angles 90.00, 76.45, 89.97 degrees
Space group P-1 (No. 2)
One atom of each set of equivalent atoms:
Tb 0.0000 0.0000 0.0000 [1 per cell]
Tb 0.2229 0.4998 0.3352 [2 per cell]
Tb 0.2791 0.7515 0.6642 [2 per cell]
Tb 0.4991 0.2477 0.9995 [2 per cell]
Y 0.0000 0.5000 0.0000 [1 per cell]
Tm 0.2204 0.0000 0.3346 [2 per cell]
Tm 0.2783 0.2484 0.6652 [2 per cell]

Summary:
**Theoretical density**: 8.28 g/cm³
**Crystal system**: triclinic
**Total moment**: 0.0000 μB per atom

<ii>
Material: Tb7YTm4
Method: DFT, GGA-PBE
State: relaxed

Cell lengths 5.5829, 5.5829, 13.8989 Å; angles 90.00, 90.00, 120.00 degrees
Space group P-3m1 (No. 164)
One atom of each set of equivalent atoms:
Tb 0.0000 0.0000 0.0000 [1 per cell]
Tb 0.0000 0.0000 0.2489 [2 per cell]
Tb 0.3333 0.6667 0.1244 [2 per cell]
Tb 0.3333 0.6667 0.6246 [2 per cell]
Y 0.0000 0.0000 0.5000 [1 per cell]
Tm 0.3333 0.6667 0.3744 [2 per cell]
Tm 0.3333 0.6667 0.8749 [2 per cell]

Summary:
**Theoretical density**: 8.31 g/cm³
**Crystal system**: trigonal
**Total moment**: 0.0000 μB per atom

Which structure is most stable? <i>, by 6.9 kJ/mol of atoms over the runner-up.

<i>
Material: TbY8Tm2
Method: DFT, GGA-PBE
State: relaxed

Cell lengths 11.0270, 7.3423, 9.2015 Å; angles 90.00, 107.50, 90.00 degrees
Space group C2/m (No. 12)
One atom of each set of equivalent atoms:
Tb 0.0000 0.0000 0.0000 [2 per cell]
Y 0.0664 0.2770 0.2756 [8 per cell]
Y 0.1691 0.5000 0.6194 [4 per cell]
Y 0.1903 0.5000 0.0020 [4 per cell]
Tm 0.1458 0.0000 0.6168 [4 per cell]

Summary:
**Theoretical density**: 5.65 g/cm³
**Crystal system**: monoclinic
**Total moment**: 0.0761 μB per atom

<ii>
Material: TbY8Tm2
Method: DFT, GGA-PBE
State: relaxed

Cell lengths 9.0397, 16.3234, 5.8881 Å; angles 90.00, 124.73, 90.00 degrees
Space group C2/m (No. 12)
One atom of each set of equivalent atoms:
Tb 0.0000 0.0000 0.0000 [2 per cell]
Y 0.0000 0.2050 0.0000 [4 per cell]
Y 0.0666 0.5000 0.7914 [4 per cell]
Y 0.2191 0.1209 0.6840 [8 per cell]
Tm 0.0000 0.3092 0.5000 [4 per cell]

Summary:
**Theoretical density**: 5.62 g/cm³
**Crystal system**: monoclinic
**Total moment**: 0.0000 μB per atom

Which structure is most stable? <i>, by 3.1 kJ/mol of atoms over the runner-up.

<i>
Material: Tb3YTm4
Method: DFT, GGA-PBE
State: relaxed

Cell lengths 3.4654, 6.5868, 22.4025 Å; angles 90.00, 90.00, 90.00 degrees
Space group Immm (No. 71)
One atom of each set of equivalent atoms:
Tb 0.0000 0.0000 0.0000 [2 per cell]
Tb 0.0000 0.0000 0.2385 [4 per cell]
Y 0.0000 0.0000 0.5000 [2 per cell]
Tm 0.0000 0.2555 0.3753 [8 per cell]

Summary:
**Theoretical density**: 8.06 g/cm³
**Crystal system**: orthorhombic
**Total moment**: 0.0000 μB per atom

<ii>
Material: Tb3YTm4
Method: DFT, GGA-PBE
State: relaxed

Cell lengths 11.1645, 7.2197, 6.2360 Å; angles 90.00, 90.00, 90.00 degrees
Space group Pmn2_1 (No. 31)
One atom of each set of equivalent atoms:
Tb 0.0000 0.1238 0.0000 [2 per cell]
Tb 0.2491 0.6257 0.3324 [4 per cell]
Y 0.0000 0.3737 0.4990 [2 per cell]
Tm 0.0000 0.6265 0.9973 [2 per cell]
Tm 0.0000 0.8761 0.4979 [2 per cell]
Tm 0.2487 0.8761 0.8313 [4 per cell]

Summary:
**Theoretical density**: 8.20 g/cm³
**Crystal system**: orthorhombic
**Total moment**: 0.0000 μB per atom

Which structure is most stable? <ii>, by 16.8 kJ/mol of atoms over the runner-up.

<i>
Material: Tb4Y4Tm
Method: DFT, GGA-PBE
State: relaxed

Cell lengths 16.7287, 5.4994, 6.8002 Å; angles 90.00, 111.67, 90.00 degrees
Space group C2/m (No. 12)
One atom of each set of equivalent atoms:
Tb 0.0729 0.0000 0.3881 [4 per cell]
Tb 0.1370 0.5000 0.7081 [4 per cell]
Y 0.1346 0.0000 0.9746 [4 per cell]
Y 0.2190 0.5000 0.2986 [4 per cell]
Tm 0.0000 0.5000 0.0000 [2 per cell]

Summary:
**Theoretical density**: 6.63 g/cm³
**Crystal system**: monoclinic
**Total moment**: 0.0000 μB per atom

<ii>
Material: Tb4Y4Tm
Method: DFT, GGA-PBE
State: relaxed

Cell lengths 10.6805, 10.6805, 5.0219 Å; angles 90.00, 90.00, 90.00 degrees
Space group I4/mmm (No. 139)
One atom of each set of equivalent atoms:
Tb 0.0000 0.3339 0.0000 [8 per cell]
Y 0.1662 0.1662 0.5000 [8 per cell]
Tm 0.0000 0.0000 0.0000 [2 per cell]

Summary:
**Theoretical density**: 6.73 g/cm³
**Crystal system**: tetragonal
**Total moment**: 0.0000 μB per atom

Which structure is most stable? <ii>, by 8.1 kJ/mol of atoms over the runner-up.

<i>
Material: Tb6Y3Tm2
Method: DFT, GGA-PBE
State: relaxed

Cell lengths 4.7287, 4.7287, 33.0393 Å; angles 90.00, 90.00, 90.00 degrees
Space group I4/mmm (No. 139)
One atom of each set of equivalent atoms:
Tb 0.0000 0.0000 0.1940 [4 per cell]
Tb 0.0000 0.5000 0.1197 [8 per cell]
Y 0.0000 0.0000 0.2987 [4 per cell]
Y 0.0000 0.0000 0.5000 [2 per cell]
Tm 0.0000 0.0000 0.0458 [4 per cell]

Summary:
**Theoretical density**: 7.00 g/cm³
**Crystal system**: tetragonal
**Total moment**: 0.0000 μB per atom

<ii>
Material: Tb6Y3Tm2
Method: DFT, GGA-PBE
State: relaxed

Cell lengths 3.5527, 3.5527, 95.3778 Å; angles 90.00, 90.00, 120.00 degrees
Space group R-3m (No. 166, hexagonal axes)
One atom of each set of equivalent atoms:
Tb 0.0000 0.0000 0.0916 [6 per cell]
Tb 0.0000 0.0000 0.1819 [6 per cell]
Tb 0.0000 0.0000 0.3639 [6 per cell]
Y 0.0000 0.0000 0.0000 [3 per cell]
Y 0.0000 0.0000 0.2723 [6 per cell]
Tm 0.0000 0.0000 0.4548 [6 per cell]

Summary:
**Theoretical density**: 7.45 g/cm³
**Crystal system**: trigonal
**Total moment**: 0.0000 μB per atom

Which structure is most stable? <ii>, by 25.5 kJ/mol of atoms over the runner-up.